P:
{"formula": "LiEu2CoO4", "functional": "PBE+U", "state": "optimized geometry", "rho_g_cm3": 7.4, "lattice": [[-5.2045, -4.0383, 3.2883], [-6.0659, 1.1604, 4.0083], [4.1785, 1.5055, -5.8721]], "species": ["O", "O", "O", "Li", "Eu", "O", "Co", "Eu"], "fractional_positions": [[0.0050, 0.5050, 0.5000], [0.8171, 0.8171, 0.0000], [0.1829, 0.1829, 0.0000], [0.2500, 0.7500, 0.5000], [0.3772, 0.3772, 0.0000], [0.4950, 0.9950, 0.5000], [0.0000, 0.0000, 0.0000], [0.6228, 0.6228, 0.0000]]}


Q:
{"formula": "LiEu2CoO4", "functional": "PBE+U", "state": "optimized geometry", "rho_g_cm3": 6.2, "lattice": [[-1.8475, 1.8475, 8.5140], [1.8475, -1.8475, 8.5140], [1.8475, 1.8475, -8.5140]], "species": ["Eu", "Li", "O", "O", "Eu", "O", "Co", "O"], "fractional_positions": [[0.3263, 0.3263, 0.0000], [0.5000, 0.5000, 0.0000], [0.1921, 0.1921, 0.0000], [0.5000, 0.0000, 0.5000], [0.6737, 0.6737, 0.0000], [0.8079, 0.8079, 0.0000], [0.0000, 0.0000, 0.0000], [0.0000, 0.5000, 0.5000]]}


R:
{"formula": "LiEu2CoO4", "functional": "PBE+U", "state": "optimized geometry", "rho_g_cm3": 7.1, "lattice": [[-1.6207, 2.8148, -0.7175], [-1.3832, 0.1294, 3.6322], [6.2622, 4.1755, 2.2359]], "species": ["Eu", "O", "O", "O", "Co", "Eu", "O", "Li"], "fractional_positions": [[0.0000, 0.0000, 0.6922], [0.5000, 0.0000, 0.9262], [0.0000, 0.5000, 0.1120], [0.5000, 0.5000, 0.6623], [0.5000, 0.5000, 0.9420], [0.5000, 0.5000, 0.3503], [0.0000, 0.0000, 0.3941], [0.0000, 0.0000, 0.0908]]}


Which structure wins on stability? R wins.